(w)
A plane-wave DFT calculation with PBE was carried out for GaAg2Cl5 after structural relaxation.

POSCAR file:
```
GaAg2Cl5
1.0
9.1966 -4.4309 0.0000
9.1966 4.4309 0.0000
-5.2618 0.0000 12.2327
Ga Ag Cl
4 8 20
Direct
0.0473 0.2908 0.3098 Ga
0.2908 0.0473 0.8098 Ga
0.7092 0.9527 0.1902 Ga
0.9527 0.7092 0.6902 Ga
0.1700 0.6450 0.2185 Ag
0.3184 0.6592 0.5835 Ag
0.3408 0.6816 0.9165 Ag
0.3550 0.8300 0.2815 Ag
0.6450 0.1700 0.7185 Ag
0.6592 0.3184 0.0835 Ag
0.6816 0.3408 0.4165 Ag
0.8300 0.3550 0.7815 Ag
0.0142 0.8544 0.8476 Cl
0.1009 0.2449 0.9195 Cl
0.1456 0.9858 0.6524 Cl
0.1474 0.4110 0.2862 Cl
0.1854 0.5240 0.6175 Cl
0.2449 0.1009 0.4195 Cl
0.3746 0.6233 0.1068 Cl
0.3767 0.6254 0.3932 Cl
0.4110 0.1474 0.7862 Cl
0.4760 0.8146 0.8825 Cl
0.5240 0.1854 0.1175 Cl
0.5890 0.8526 0.2138 Cl
0.6233 0.3746 0.6068 Cl
0.6254 0.3767 0.8932 Cl
0.7551 0.8991 0.5805 Cl
0.8146 0.4760 0.3825 Cl
0.8526 0.5890 0.7138 Cl
0.8544 0.0142 0.3476 Cl
0.8991 0.7551 0.0805 Cl
0.9858 0.1456 0.1524 Cl
```

* crystal system: monoclinic
* calculated density: 3083 kg/m³

---

(x)
A plane-wave DFT calculation with PBE was carried out for GaAg2Cl5 after structural relaxation.

POSCAR file:
```
GaAg2Cl5
1.0
2.6320 -6.4680 0.0000
2.6320 6.4680 0.0000
0.0000 0.0000 12.3693
Ga Ag Cl
2 4 10
Direct
0.1969 0.8031 0.7500 Ga
0.8031 0.1969 0.2500 Ga
0.1490 0.8510 0.0757 Ag
0.1490 0.8510 0.4243 Ag
0.8510 0.1490 0.5757 Ag
0.8510 0.1490 0.9243 Ag
0.0689 0.9311 0.6190 Cl
0.0689 0.9311 0.8810 Cl
0.2843 0.7157 0.2500 Cl
0.3255 0.6745 0.6140 Cl
0.3255 0.6745 0.8860 Cl
0.6745 0.3255 0.1140 Cl
0.6745 0.3255 0.3860 Cl
0.7157 0.2843 0.7500 Cl
0.9311 0.0689 0.1190 Cl
0.9311 0.0689 0.3810 Cl
```

* crystal system: orthorhombic
* calculated density: 3649 kg/m³

---

Verdict on stability: (x) comes out at the bottom.

---

(w)
A plane-wave DFT calculation with PBE was carried out for Ga2AgCl after structural relaxation.

POSCAR file:
```
Ga2AgCl
1.0
-3.1627 3.1627 5.9508
3.1627 -3.1627 5.9508
3.1627 3.1627 -5.9508
Ga Ag Cl
4 2 2
Direct
0.0960 0.6250 0.9710 Ga
0.3750 0.3460 0.4710 Ga
0.6540 0.1250 0.0290 Ga
0.8750 0.9040 0.5290 Ga
0.0000 0.0000 0.0000 Ag
0.7500 0.2500 0.5000 Ag
0.2500 0.7500 0.5000 Cl
0.5000 0.5000 0.0000 Cl
```

* crystal system: tetragonal
* calculated density: 3944 kg/m³

---

(x)
A plane-wave DFT calculation with PBE was carried out for Ga2AgCl after structural relaxation.

POSCAR file:
```
Ga2AgCl
1.0
0.0000 3.5140 3.5140
3.5140 0.0000 3.5140
3.5140 3.5140 0.0000
Ga Ag Cl
2 1 1
Direct
0.2500 0.2500 0.2500 Ga
0.7500 0.7500 0.7500 Ga
0.0000 0.0000 0.0000 Ag
0.5000 0.5000 0.5000 Cl
```

* crystal system: cubic
* calculated density: 5411 kg/m³

---

Verdict on stability: (x) comes out at the bottom.

---

(w)
A plane-wave DFT calculation with PBE was carried out for GaAgCl4 after structural relaxation.

POSCAR file:
```
GaAgCl4
1.0
4.9451 -4.1621 0.0000
4.9451 4.1621 0.0000
-0.3329 0.0000 9.1188
Ga Ag Cl
2 2 8
Direct
0.1268 0.8732 0.7500 Ga
0.8732 0.1268 0.2500 Ga
0.0000 0.5000 0.0000 Ag
0.5000 0.0000 0.5000 Ag
0.1790 0.1993 0.7507 Cl
0.1993 0.1790 0.2507 Cl
0.2807 0.7139 0.9486 Cl
0.2861 0.7193 0.5514 Cl
0.7139 0.2807 0.4486 Cl
0.7193 0.2861 0.0514 Cl
0.8007 0.8210 0.7493 Cl
0.8210 0.8007 0.2493 Cl
```

* crystal system: monoclinic
* calculated density: 2826 kg/m³

---

(x)
A plane-wave DFT calculation with PBE was carried out for GaAgCl4 after structural relaxation.

POSCAR file:
```
GaAgCl4
1.0
6.6974 0.0000 0.0000
0.0000 6.7063 0.0000
0.0000 0.0000 10.2828
Ga Ag Cl
2 2 8
Direct
0.0000 0.0000 0.0000 Ga
0.5000 0.0000 0.5000 Ga
0.0000 0.0000 0.5000 Ag
0.0000 0.5000 0.0000 Ag
0.1865 0.2030 0.8813 Cl
0.1865 0.7970 0.1187 Cl
0.2981 0.1915 0.3841 Cl
0.2981 0.8085 0.6159 Cl
0.7019 0.1915 0.6159 Cl
0.7019 0.8085 0.3841 Cl
0.8135 0.2030 0.1187 Cl
0.8135 0.7970 0.8813 Cl
```

* crystal system: orthorhombic
* calculated density: 2297 kg/m³

---

Verdict on stability: (x) comes out at the bottom.

---

(w)
A plane-wave DFT calculation with PBE was carried out for GaAgP2Cl after structural relaxation.

POSCAR file:
```
GaAgP2Cl
1.0
4.7391 0.0000 0.0000
0.0000 4.7391 0.0000
0.0000 0.0000 5.9134
Ga Ag P Cl
1 1 2 1
Direct
0.0000 0.0000 0.0000 Ga
0.5000 0.5000 0.5000 Ag
0.0000 0.5000 0.5000 P
0.5000 0.0000 0.5000 P
0.5000 0.5000 0.0000 Cl
```

* crystal system: tetragonal
* calculated density: 3438 kg/m³

---

(x)
A plane-wave DFT calculation with PBE was carried out for GaAgP2Cl after structural relaxation.

POSCAR file:
```
GaAgP2Cl
1.0
4.7263 0.0000 0.0000
0.0000 4.7263 0.0000
0.0000 0.0000 5.0324
Ga Ag P Cl
1 1 2 1
Direct
0.0000 0.0000 0.0000 Ga
0.5000 0.5000 0.5000 Ag
0.0000 0.5000 0.0000 P
0.5000 0.0000 0.0000 P
0.0000 0.0000 0.5000 Cl
```

* crystal system: tetragonal
* calculated density: 4062 kg/m³

---

Verdict on stability: (w) comes out at the bottom.

---

(w)
A plane-wave DFT calculation with PBE was carried out for Ag2GeCl2 after structural relaxation.

POSCAR file:
```
Ag2GeCl2
1.0
-1.8326 1.8326 10.1169
1.8326 -1.8326 10.1169
1.8326 1.8326 -10.1169
Ag Ge Cl
2 1 2
Direct
0.2500 0.7500 0.5000 Ag
0.7500 0.2500 0.5000 Ag
0.0000 0.0000 0.0000 Ge
0.4243 0.4243 0.0000 Cl
0.5757 0.5757 0.0000 Cl
```

* crystal system: tetragonal
* calculated density: 4390 kg/m³

---

(x)
A plane-wave DFT calculation with PBE was carried out for Ag2GeCl2 after structural relaxation.

POSCAR file:
```
Ag2GeCl2
1.0
8.1617 0.0000 0.0000
0.0000 8.1617 0.0000
0.0000 0.0000 3.2166
Ag Ge Cl
4 2 4
Direct
0.1306 0.3694 0.0000 Ag
0.3694 0.8694 0.0000 Ag
0.6306 0.1306 0.0000 Ag
0.8694 0.6306 0.0000 Ag
0.0000 0.0000 0.5000 Ge
0.5000 0.5000 0.5000 Ge
0.1680 0.6680 0.5000 Cl
0.3320 0.1680 0.5000 Cl
0.6680 0.8320 0.5000 Cl
0.8320 0.3320 0.5000 Cl
```

* crystal system: tetragonal
* calculated density: 5569 kg/m³

---

Verdict on stability: (x) comes out at the bottom.

---

(w)
A plane-wave DFT calculation with PBE was carried out for Ag3GeCl after structural relaxation.

POSCAR file:
```
Ag3GeCl
1.0
4.9926 0.0000 0.0000
0.0000 4.9926 0.0000
0.0000 0.0000 4.9926
Ag Ge Cl
3 1 1
Direct
0.0000 0.0000 0.5000 Ag
0.0000 0.5000 0.0000 Ag
0.5000 0.0000 0.0000 Ag
0.0000 0.0000 0.0000 Ge
0.5000 0.5000 0.5000 Cl
```

* crystal system: cubic
* calculated density: 5760 kg/m³

---

(x)
A plane-wave DFT calculation with PBE was carried out for Ag3GeCl after structural relaxation.

POSCAR file:
```
Ag3GeCl
1.0
4.9929 0.0000 0.0000
0.0000 4.9929 0.0000
0.0000 0.0000 4.9929
Ag Ge Cl
3 1 1
Direct
0.0000 0.0000 0.5000 Ag
0.0000 0.5000 0.0000 Ag
0.5000 0.0000 0.0000 Ag
0.5000 0.5000 0.5000 Ge
0.0000 0.0000 0.0000 Cl
```

* crystal system: cubic
* calculated density: 5759 kg/m³

---

Verdict on stability: (x) comes out at the bottom.

---

(w)
A plane-wave DFT calculation with PBE was carried out for Ag2GeCl6 after structural relaxation.

POSCAR file:
```
Ag2GeCl6
1.0
6.5773 0.0000 0.0000
0.0000 6.3719 0.0000
-6.4606 0.0000 11.0722
Ag Ge Cl
4 2 12
Direct
0.1943 0.0176 0.1902 Ag
0.1943 0.4824 0.6902 Ag
0.8057 0.5176 0.3098 Ag
0.8057 0.9824 0.8098 Ag
0.5000 0.0000 0.0000 Ge
0.5000 0.5000 0.5000 Ge
0.1929 0.6940 0.3410 Cl
0.1929 0.8060 0.8410 Cl
0.2275 0.2254 0.0017 Cl
0.2275 0.2746 0.5017 Cl
0.4727 0.7188 0.6422 Cl
0.4727 0.7812 0.1422 Cl
0.5273 0.2188 0.8578 Cl
0.5273 0.2812 0.3578 Cl
0.7725 0.7254 0.4983 Cl
0.7725 0.7746 0.9983 Cl
0.8071 0.1940 0.1590 Cl
0.8071 0.3060 0.6590 Cl
```

* crystal system: monoclinic
* calculated density: 3586 kg/m³

---

(x)
A plane-wave DFT calculation with PBE was carried out for Ag2GeCl6 after structural relaxation.

POSCAR file:
```
Ag2GeCl6
1.0
8.2698 -6.7781 0.0000
8.2698 6.7781 0.0000
-2.2336 0.0000 5.9088
Ag Ge Cl
4 2 12
Direct
0.2061 0.2081 0.3829 Ag
0.2081 0.2061 0.8829 Ag
0.7919 0.7939 0.1171 Ag
0.7939 0.7919 0.6171 Ag
0.3019 0.6981 0.7500 Ge
0.6981 0.3019 0.2500 Ge
0.0760 0.3371 0.1299 Cl
0.1458 0.7214 0.4636 Cl
0.2786 0.8542 0.0364 Cl
0.3034 0.5155 0.8295 Cl
0.3371 0.0760 0.6299 Cl
0.4845 0.6966 0.6705 Cl
0.5155 0.3034 0.3295 Cl
0.6629 0.9240 0.3701 Cl
0.6966 0.4845 0.1705 Cl
0.7214 0.1458 0.9636 Cl
0.8542 0.2786 0.5364 Cl
0.9240 0.6629 0.8701 Cl
```

* crystal system: monoclinic
* calculated density: 2512 kg/m³

---

Verdict on stability: (w) comes out at the bottom.

---

(w)
A plane-wave DFT calculation with PBE was carried out for AgGe2Cl6 after structural relaxation.

POSCAR file:
```
AgGe2Cl6
1.0
6.2226 -5.4894 0.0000
6.2226 5.4894 0.0000
-3.9529 0.0000 8.6693
Ag Ge Cl
2 4 12
Direct
0.0828 0.9172 0.7500 Ag
0.9172 0.0828 0.2500 Ag
0.2542 0.3733 0.7772 Ge
0.3733 0.2542 0.2772 Ge
0.6267 0.7458 0.7228 Ge
0.7458 0.6267 0.2228 Ge
0.0224 0.2023 0.6669 Cl
0.1001 0.6261 0.8151 Cl
0.2023 0.0224 0.1669 Cl
0.3420 0.3533 0.5454 Cl
0.3533 0.3420 0.0454 Cl
0.3739 0.8999 0.6849 Cl
0.6261 0.1001 0.3151 Cl
0.6467 0.6580 0.9546 Cl
0.6580 0.6467 0.4546 Cl
0.7977 0.9776 0.8331 Cl
0.8999 0.3739 0.1849 Cl
0.9776 0.7977 0.3331 Cl
```

* crystal system: monoclinic
* calculated density: 2612 kg/m³

---

(x)
A plane-wave DFT calculation with PBE was carried out for AgGe2Cl6 after structural relaxation.

POSCAR file:
```
AgGe2Cl6
1.0
4.0555 2.3414 7.4323
-4.0555 2.3414 7.4323
0.0000 -4.6828 7.4323
Ag Ge Cl
1 2 6
Direct
0.0000 0.0000 0.0000 Ag
0.5322 0.5322 0.5322 Ge
0.6496 0.6496 0.6496 Ge
0.3523 0.3523 0.7876 Cl
0.3523 0.7876 0.3523 Cl
0.3709 0.8411 0.8411 Cl
0.7876 0.3523 0.3523 Cl
0.8411 0.3709 0.8411 Cl
0.8411 0.8411 0.3709 Cl
```

* crystal system: trigonal
* calculated density: 1827 kg/m³

---

Verdict on stability: (x) comes out at the bottom.

---

(w)
A plane-wave DFT calculation with PBE was carried out for AgGeP2Cl after structural relaxation.

POSCAR file:
```
AgGeP2Cl
1.0
4.7694 0.0000 0.0000
0.0000 4.7694 0.0000
0.0000 0.0000 5.0097
Ag Ge P Cl
1 1 2 1
Direct
0.0000 0.0000 0.0000 Ag
0.5000 0.5000 0.5000 Ge
0.0000 0.5000 0.5000 P
0.5000 0.0000 0.5000 P
0.5000 0.5000 0.0000 Cl
```

* crystal system: tetragonal
* calculated density: 4050 kg/m³

---

(x)
A plane-wave DFT calculation with PBE was carried out for AgGeP2Cl after structural relaxation.

POSCAR file:
```
AgGeP2Cl
1.0
4.7757 0.0000 0.0000
0.0000 4.7757 0.0000
0.0000 0.0000 5.1959
Ag Ge P Cl
1 1 2 1
Direct
0.0000 0.0000 0.0000 Ag
0.5000 0.5000 0.5000 Ge
0.0000 0.5000 0.0000 P
0.5000 0.0000 0.0000 P
0.0000 0.0000 0.5000 Cl
```

* crystal system: tetragonal
* calculated density: 3894 kg/m³

---

Verdict on stability: (x) comes out at the bottom.

---

(w)
A plane-wave DFT calculation with PBE was carried out for Ag2SnGeCl after structural relaxation.

POSCAR file:
```
Ag2SnGeCl
1.0
4.9781 0.0000 0.0000
0.0000 4.9781 0.0000
0.0000 0.0000 5.1667
Ag Sn Ge Cl
2 1 1 1
Direct
0.0000 0.5000 0.0000 Ag
0.5000 0.0000 0.0000 Ag
0.0000 0.0000 0.5000 Sn
0.5000 0.5000 0.5000 Ge
0.5000 0.5000 0.0000 Cl
```

* crystal system: tetragonal
* calculated density: 5739 kg/m³

---

(x)
A plane-wave DFT calculation with PBE was carried out for Ag2SnGeCl after structural relaxation.

POSCAR file:
```
Ag2SnGeCl
1.0
4.9649 0.0000 0.0000
0.0000 4.9649 0.0000
0.0000 0.0000 5.4655
Ag Sn Ge Cl
2 1 1 1
Direct
0.0000 0.5000 0.0000 Ag
0.5000 0.0000 0.0000 Ag
0.0000 0.0000 0.5000 Sn
0.0000 0.0000 0.0000 Ge
0.5000 0.5000 0.5000 Cl
```

* crystal system: tetragonal
* calculated density: 5454 kg/m³

---

Verdict on stability: (w) comes out at the bottom.